a | Here is AcLaPmZn after structural relaxation from Alexandria via LeMat-Bulk. Energies are from PBE.

Structure (POSCAR):
```
AcLaPmZn
1.0
8.021 0.000 0.000
0.000 8.021 0.000
0.000 0.000 8.021
Ac La Pm Zn
4 4 4 4
direct
0.000 0.000 0.000
0.000 0.500 0.500
0.500 0.000 0.500
0.500 0.500 0.000
0.250 0.250 0.250
0.250 0.750 0.750
0.750 0.250 0.750
0.750 0.750 0.250
0.250 0.250 0.750
0.250 0.750 0.250
0.750 0.250 0.250
0.750 0.750 0.750
0.000 0.000 0.500
0.000 0.500 0.000
0.500 0.000 0.000
0.500 0.500 0.500
```

Results
Its theoretical density is 7.42 g cm⁻³. The calculation puts the volume at 129.0 Å³/f.u. The total magnetic moment comes out at 0.0 μB/cell.


b | Here is AcLaPmZn after structural relaxation from Alexandria via LeMat-Bulk. Energies are from PBE.

Structure (POSCAR):
```
AcLaPmZn
1.0
3.782 0.000 0.000
0.000 3.782 0.000
0.000 0.000 9.071
Ac La Pm Zn
1 1 1 1
direct
0.000 0.000 0.000
0.500 0.500 0.693
0.500 0.500 0.297
0.000 0.000 0.484
```

Results
Its theoretical density is 7.38 g cm⁻³. The calculation puts the volume at 129.8 Å³/f.u. The total magnetic moment comes out at 0.0 μB/cell.


Least stable = a


a | Here is AcLa5Pr after structural relaxation from Alexandria via LeMat-Bulk. Energies are from PBE.

Structure (POSCAR):
```
AcLa5Pr
1.0
4.536 -5.189 0.000
4.536 5.189 0.000
-3.965 0.000 11.391
Ac La Pr
2 10 2
direct
0.000 0.500 0.000
0.500 0.000 0.500
0.069 0.278 0.536
0.087 0.913 0.250
0.278 0.069 0.036
0.307 0.446 0.332
0.446 0.307 0.832
0.554 0.693 0.168
0.693 0.554 0.668
0.722 0.931 0.964
0.913 0.087 0.750
0.931 0.722 0.464
0.254 0.746 0.750
0.746 0.254 0.250
```

Results
Its theoretical density is 6.58 g cm⁻³. The calculation puts the volume at 268.1 Å³/f.u. The total magnetic moment comes out at 0.0 μB/cell.


b | Here is AcLa5Pr after structural relaxation from Alexandria via LeMat-Bulk. Energies are from PBE.

Structure (POSCAR):
```
AcLa5Pr
1.0
6.136 -3.682 0.000
6.136 3.682 0.000
-4.866 0.000 11.855
Ac La Pr
2 10 2
direct
0.028 0.972 0.750
0.972 0.028 0.250
0.150 0.409 0.744
0.208 0.634 0.496
0.366 0.792 0.004
0.409 0.150 0.244
0.419 0.581 0.250
0.581 0.419 0.750
0.591 0.850 0.756
0.634 0.208 0.996
0.792 0.366 0.504
0.850 0.591 0.256
0.000 0.500 0.000
0.500 0.000 0.500
```

Results
Its theoretical density is 6.59 g cm⁻³. The calculation puts the volume at 267.8 Å³/f.u. The total magnetic moment comes out at 0.0 μB/cell.


Least stable = b